## LuHfSc2Sb2 (GGA-PBE)

Data for an optimized crystal structure of LuHfSc2Sb2.

POSCAR file:
```
LuHfSc2Sb2
1.0
-2.090 2.090 7.983
2.090 -2.090 7.983
2.090 2.090 -7.983
Hf Lu Sb Sc
1 1 2 2
Direct
0.325 0.325 0.000
0.679 0.679 0.000
0.136 0.136 0.000
0.864 0.864 0.000
0.998 0.498 0.500
0.498 0.998 0.500
```

## GeMo4SN2 (GGA-PBE)

Data for an optimized crystal structure of GeMo4SN2.

POSCAR file:
```
GeMo4SN2
1.0
2.985 0.000 0.000
-1.493 2.585 0.000
0.000 0.000 13.102
Ge Mo N S
1 4 2 1
Direct
0.000 0.000 0.000
0.333 0.667 0.157
0.000 0.000 0.362
0.000 0.000 0.638
0.333 0.667 0.843
0.667 0.333 0.257
0.667 0.333 0.743
0.333 0.667 0.500
```

ZnCoReTc, relaxed, DFT GGA-PBE; energy relative to the elements = 3.20 kcal/mol of atoms; polymorph energy (0 for the lowest one) = 0.00 eV per formula unit
1.0
0.000 3.001 3.001
3.001 0.000 3.001
3.001 3.001 0.000
Co Re Tc Zn
1 1 1 1
Direct
0.750 0.750 0.750
0.500 0.500 0.500
0.250 0.250 0.250
0.000 0.000 0.000

## PrNd3As2Br2 (GGA-PBE)

Data for an optimized crystal structure of PrNd3As2Br2.

POSCAR file:
```
PrNd3As2Br2
1.0
4.213 0.000 0.000
-2.106 3.648 0.000
0.000 0.000 14.845
As Br Nd Pr
2 2 3 1
Direct
0.667 0.333 0.002
0.667 0.333 0.500
0.000 0.000 0.251
0.333 0.667 0.748
0.333 0.667 0.106
0.333 0.667 0.395
0.000 0.000 0.604
0.000 0.000 0.894
```

SmHoZnNi2, relaxed, DFT GGA-PBE; energy relative to the elements = -10.22 kcal/mol of atoms
1.0
-2.124 2.696 4.076
2.124 -2.696 4.076
2.124 2.696 -4.076
Ho Ni Sm Zn
1 2 1 1
Direct
0.703 0.203 0.500
0.730 0.500 0.230
0.270 0.500 0.770
0.297 0.797 0.500
0.000 0.000 0.000

## LiCu4NiAs2 (GGA-PBE)

Data for an optimized crystal structure of LiCu4NiAs2.

POSCAR file:
```
LiCu4NiAs2
1.0
4.191 0.000 0.000
0.000 4.191 0.000
0.000 0.000 5.872
As Cu Li Ni
2 4 1 1
Direct
0.000 0.000 0.000
0.500 0.500 0.500
0.500 0.000 0.253
0.000 0.500 0.253
0.500 0.000 0.747
0.000 0.500 0.747
0.500 0.500 0.000
0.000 0.000 0.500
```

| no. | electronic total energy (Ha/atom) |
| --- | --- |
| 1 | -0.2394 |
| 2 | -0.3176 |
| 3 | -0.2811 |
| 4 | -0.1985 |
| 5 | -0.1757 |
| 6 | -0.1467 |